Record 1
# Fe2Pd2Pt (PBE, relaxed)
data_Fe2Pd2Pt
_chemical_formula_sum 'Fe4 Pd4 Pt2'
_cell_length_a 2.7408
_cell_length_b 3.7470
_cell_length_c 13.9016
_cell_angle_alpha 90.00
_cell_angle_beta 90.00
_cell_angle_gamma 90.00
_space_group_name_H-M_alt 'I m m m'
_space_group_IT_number 71
_space_group_name_Hall '-I 2 2'
loop_
_atom_site_label
_atom_site_fract_x
_atom_site_fract_y
_atom_site_fract_z
_atom_site_occupancy
Fe1 0.0000 0.0000 0.1003 1
Pd1 0.0000 0.0000 0.3038 1
Pt1 0.0000 0.0000 0.5000 1
# * calculated total energy: -6.82 eV/atom
# * total magnetization: 13.889 Bohr magnetons per cell
# * formation energy: -145 meV per atom

---

Record 2
# CsY2MoRh (PBE, relaxed)
data_CsY2MoRh
_chemical_formula_sum 'Cs1 Y2 Mo1 Rh1'
_cell_length_a 5.5589
_cell_length_b 5.5589
_cell_length_c 4.8530
_cell_angle_alpha 90.00
_cell_angle_beta 90.00
_cell_angle_gamma 90.00
_space_group_name_H-M_alt 'P 4/m m m'
_space_group_IT_number 123
_space_group_name_Hall '-P 4 2'
loop_
_atom_site_label
_atom_site_fract_x
_atom_site_fract_y
_atom_site_fract_z
_atom_site_occupancy
Cs1 0.0000 0.0000 0.0000 1
Y1 0.0000 0.5000 0.0000 1
Mo1 0.5000 0.5000 0.5000 1
Rh1 0.0000 0.0000 0.5000 1
# * calculated total energy: -4.48 eV/atom
# * total magnetization: 3.438 Bohr magnetons per cell
# * formation energy: 1917 meV per atom

---

Record 3
# La2TlCu (PBE, relaxed)
data_La2TlCu
_chemical_formula_sum 'La2 Tl1 Cu1'
_cell_length_a 3.7599
_cell_length_b 3.7599
_cell_length_c 7.9210
_cell_angle_alpha 90.00
_cell_angle_beta 90.00
_cell_angle_gamma 90.00
_space_group_name_H-M_alt 'P 4/m m m'
_space_group_IT_number 123
_space_group_name_Hall '-P 4 2'
loop_
_atom_site_label
_atom_site_fract_x
_atom_site_fract_y
_atom_site_fract_z
_atom_site_occupancy
La1 0.0000 0.0000 0.2178 1
Tl1 0.5000 0.5000 0.5000 1
Cu1 0.5000 0.5000 0.0000 1
# * calculated total energy: -4.35 eV/atom
# * total magnetization: 0.009 Bohr magnetons per cell
# * formation energy: -272 meV per atom

---

Record 4
# BeFe2Re (PBE, relaxed)
data_BeFe2Re
_chemical_formula_sum 'Be1 Fe2 Re1'
_cell_length_a 2.8540
_cell_length_b 2.8540
_cell_length_c 5.5149
_cell_angle_alpha 90.00
_cell_angle_beta 90.00
_cell_angle_gamma 90.00
_space_group_name_H-M_alt 'P 4 m m'
_space_group_IT_number 99
loop_
_space_group_symop_operation_xyz
'x,y,z'
'-y,x,z'
'-x,-y,z'
'y,-x,z'
'-x,y,z'
'y,x,z'
'x,-y,z'
'-y,-x,z'
loop_
_atom_site_label
_atom_site_fract_x
_atom_site_fract_y
_atom_site_fract_z
_atom_site_occupancy
Be1 0.0000 0.0000 0.0000 1
Fe1 0.0000 0.0000 0.4510 1
Fe2 0.5000 0.5000 0.2061 1
Re1 0.5000 0.5000 0.7352 1
# * calculated total energy: -8.27 eV/atom
# * total magnetization: 3.360 Bohr magnetons per cell
# * formation energy: 2 meV per atom

---

Record 5
# Sr3TiBr (PBE, relaxed)
data_Sr3TiBr
_chemical_formula_sum 'Sr3 Ti1 Br1'
_cell_length_a 5.9632
_cell_length_b 5.9632
_cell_length_c 5.9632
_cell_angle_alpha 90.00
_cell_angle_beta 90.00
_cell_angle_gamma 90.00
_space_group_name_H-M_alt 'P m -3 m'
_space_group_IT_number 221
_space_group_name_Hall '-P 4 2 3'
loop_
_atom_site_label
_atom_site_fract_x
_atom_site_fract_y
_atom_site_fract_z
_atom_site_occupancy
Sr1 0.0000 0.0000 0.5000 1
Ti1 0.5000 0.5000 0.5000 1
Br1 0.0000 0.0000 0.0000 1
# * energy relative to the elements, uncorrected: 0.048 eV/atom
# * calculated total energy: -2.87 eV/atom
# * total magnetization: 4.284 Bohr magnetons per cell

---

Record 6
# Ti2NiHPt (PBE, relaxed)
data_Ti2NiHPt
_chemical_formula_sum 'Ti2 Ni1 H1 Pt1'
_cell_length_a 4.0041
_cell_length_b 4.0041
_cell_length_c 3.7411
_cell_angle_alpha 90.00
_cell_angle_beta 90.00
_cell_angle_gamma 90.00
_space_group_name_H-M_alt 'P 4/m m m'
_space_group_IT_number 123
_space_group_name_Hall '-P 4 2'
loop_
_atom_site_label
_atom_site_fract_x
_atom_site_fract_y
_atom_site_fract_z
_atom_site_occupancy
Ti1 0.0000 0.5000 0.0000 1
Ni1 0.0000 0.0000 0.5000 1
H1 0.0000 0.0000 0.0000 1
Pt1 0.5000 0.5000 0.5000 1
# * calculated total energy: -6.78 eV/atom
# * total magnetization: 0.515 Bohr magnetons per cell